Entry 1:
This record from Alexandria describes crystalline La2GePdAu6 at its relaxed geometry. The functional is PBE-GGA.

Its space group is P-1, No. 2. As for the spin magnetization: 0.0 μB per cell.

a = 5.4568 Å, b = 6.7671 Å, c = 7.3143 Å
α = 81.86°, β = 68.17°, γ = 66.25°
Sites, in units of the cell vectors:
La: 0.0206 0.2519 0.2065
La: 0.9794 0.7481 0.7935
Ge: 0.5000 0.0000 0.5000
Pd: 0.5000 0.5000 0.0000
Au: 0.0091 0.2091 0.7731
Au: 0.3344 0.4222 0.4081
Au: 0.4912 0.7910 0.2272
Au: 0.5088 0.2090 0.7728
Au: 0.6656 0.5778 0.5919
Au: 0.9909 0.7909 0.2269



Entry 2:
This record from Alexandria describes crystalline La2Ge4Pd3Au at its relaxed geometry. The functional is PBE-GGA.

Its space group is P-4m2, No. 115. As for the spin magnetization: 0.0 μB per cell.

a = 4.4300 Å, b = 4.4300 Å, c = 10.2673 Å
α = 90.00°, β = 90.00°, γ = 90.00°
Sites, in units of the cell vectors:
La: 0.0000 0.5000 0.2474
La: 0.5000 0.0000 0.7526
Ge: 0.0000 0.0000 0.0000
Ge: 0.0000 0.5000 0.6368
Ge: 0.5000 0.0000 0.3632
Ge: 0.5000 0.5000 0.0000
Pd: 0.0000 0.5000 0.8781
Pd: 0.5000 0.0000 0.1219
Pd: 0.5000 0.5000 0.5000
Au: 0.0000 0.0000 0.5000



Entry 3:
This record from Alexandria describes crystalline La3Ge6PdAu2 at its relaxed geometry. The functional is PBE-GGA.

Its space group is P-3m1, No. 164. As for the spin magnetization: 0.0 μB per cell.

a = 6.1147 Å, b = 6.1147 Å, c = 8.4564 Å
α = 90.00°, β = 90.00°, γ = 120.00°
Sites, in units of the cell vectors:
La: 0.0000 0.0000 0.0000
La: 0.3333 0.6667 0.6436
La: 0.6667 0.3333 0.3564
Ge: 0.1898 0.3797 0.2978
Ge: 0.1898 0.8102 0.2978
Ge: 0.3797 0.1898 0.7022
Ge: 0.6203 0.8102 0.2978
Ge: 0.8102 0.1898 0.7022
Ge: 0.8102 0.6203 0.7022
Pd: 0.0000 0.0000 0.5000
Au: 0.3333 0.6667 0.0095
Au: 0.6667 0.3333 0.9905



Entry 4:
This record from Alexandria describes crystalline La2GePd4Au2 at its relaxed geometry. The functional is PBE-GGA.

Its space group is I4/mmm, No. 139. As for the spin magnetization: 0.0 μB per cell.

a = 6.4532 Å, b = 6.4532 Å, c = 6.4532 Å
α = 121.20°, β = 121.20°, γ = 87.93°
Sites, in units of the cell vectors:
La: 0.2500 0.7500 0.5000
La: 0.7500 0.2500 0.5000
Ge: 0.0000 0.0000 0.0000
Pd: 0.2746 0.2746 0.5492
Pd: 0.2746 0.7254 0.0000
Pd: 0.7254 0.2746 0.0000
Pd: 0.7254 0.7254 0.4508
Au: 0.2829 0.2829 0.0000
Au: 0.7171 0.7171 0.0000



Entry 5:
This record from Alexandria describes crystalline LaPr2Ge2Au2 at its relaxed geometry. The functional is PBE-GGA.

Its space group is R-3m, No. 166. As for the spin magnetization: 0.0 μB per cell.

a = 10.3581 Å, b = 10.3581 Å, c = 10.3581 Å
α = 25.38°, β = 25.38°, γ = 25.38°
Sites, in units of the cell vectors:
La: 0.0000 0.0000 0.0000
Pr: 0.1281 0.1281 0.1281
Pr: 0.8719 0.8719 0.8719
Ge: 0.2569 0.2569 0.2569
Ge: 0.7431 0.7431 0.7431
Au: 0.3976 0.3976 0.3976
Au: 0.6024 0.6024 0.6024



Entry 6:
This record from Alexandria describes crystalline La2Ge4Pt3Au at its relaxed geometry. The functional is PBE-GGA.

Its space group is P-4m2, No. 115. As for the spin magnetization: 0.0 μB per cell.

a = 4.4618 Å, b = 4.4618 Å, c = 10.1266 Å
α = 90.00°, β = 90.00°, γ = 90.00°
Sites, in units of the cell vectors:
La: 0.0000 0.5000 0.2479
La: 0.5000 0.0000 0.7521
Ge: 0.0000 0.0000 0.0000
Ge: 0.0000 0.5000 0.6359
Ge: 0.5000 0.0000 0.3641
Ge: 0.5000 0.5000 0.0000
Pt: 0.0000 0.5000 0.8809
Pt: 0.5000 0.0000 0.1191
Pt: 0.5000 0.5000 0.5000
Au: 0.0000 0.0000 0.5000



Entry 7:
This record from Alexandria describes crystalline La2Ge3Pt4Au at its relaxed geometry. The functional is PBE-GGA.

Its space group is P-4m2, No. 115. As for the spin magnetization: 0.0 μB per cell.

a = 4.4134 Å, b = 4.4134 Å, c = 10.4462 Å
α = 90.00°, β = 90.00°, γ = 90.00°
Sites, in units of the cell vectors:
La: 0.0000 0.5000 0.2445
La: 0.5000 0.0000 0.7555
Ge: 0.0000 0.0000 0.0000
Ge: 0.0000 0.5000 0.6220
Ge: 0.5000 0.0000 0.3780
Pt: 0.0000 0.0000 0.5000
Pt: 0.0000 0.5000 0.8541
Pt: 0.5000 0.0000 0.1459
Pt: 0.5000 0.5000 0.5000
Au: 0.5000 0.5000 0.0000



Entry 8:
This record from Alexandria describes crystalline La2PuGe4Au3 at its relaxed geometry. The functional is PBE-GGA.

Its space group is P-4m2, No. 115. As for the spin magnetization: 5.4 μB per cell.

a = 4.5151 Å, b = 4.5151 Å, c = 11.3691 Å
α = 90.00°, β = 90.00°, γ = 90.00°
Sites, in units of the cell vectors:
La: 0.0000 0.5000 0.2362
La: 0.5000 0.0000 0.7638
Pu: 0.0000 0.0000 0.5000
Ge: 0.0000 0.0000 0.0000
Ge: 0.0000 0.5000 0.6568
Ge: 0.5000 0.0000 0.3432
Ge: 0.5000 0.5000 0.0000
Au: 0.0000 0.5000 0.8797
Au: 0.5000 0.0000 0.1203
Au: 0.5000 0.5000 0.5000



no.,final energy (eV/f.u.),energy of formation from the pure elements (eV/atom)
1,-44.21,-0.488
2,-55.24,-0.806
3,-60.53,-0.525
4,-48.07,-0.696
5,-34.90,-0.660
6,-58.75,-0.903
7,-59.93,-0.878
8,-57.90,-0.541